VASP calculation (GGA-PBE) on crystalline LaTa2Fe at its relaxed geometry.

Values from the calculation:
Distance to the lowest polymorph of the same formula (meV/atom): 396.5
E (eV per atom): -8.6635

Lattice parameters (Å, degrees): 5.7616 5.7616 2.9618 80.53 80.53 123.14
Closest atoms and distances in Å follow each position.
Sites, in units of the cell vectors:
Fe (0.5000, 0.0000, 0.5000)  2 La 2.74, 2 Fe 2.96, 4 Ta 3.01
La (0.0000, 0.5000, 0.5000)  2 Fe 2.74, 2 La 2.96, 4 Ta 3.01
Ta (0.0000, 0.0000, 0.0000)  4 Ta 2.74-2.96, 2 Fe 3.01, 2 La 3.01
Ta (0.5000, 0.5000, 0.0000)  4 Ta 2.74-2.96, 2 La 3.01, 2 Fe 3.01

VASP calculation (GGA-PBE) on crystalline La2TaFe2 at its relaxed geometry.

Values from the calculation:
Distance to the lowest polymorph of the same formula (meV/atom): 718.9
E (eV per atom): -6.7075

Lattice parameters (Å, degrees): 4.1312 4.1312 6.7253 72.11 72.11 90.00
Closest atoms and distances in Å follow each position.
Sites, in units of the cell vectors:
La (0.7500, 0.2500, 0.5000)  4 Fe 2.90, 4 La 2.92
La (0.2500, 0.7500, 0.5000)  4 Fe 2.90, 4 La 2.92
Fe (0.4180, 0.4180, 0.1641)  1 Fe 1.99
Fe (0.5820, 0.5820, 0.8359)  1 Fe 1.99
Ta (0.0000, 0.0000, 0.0000)  8 Fe 3.09

VASP calculation (GGA-PBE) on crystalline LaTa2Fe at its relaxed geometry.

Values from the calculation:
Distance to the lowest polymorph of the same formula (meV/atom): 288.4
E (eV per atom): -8.7716

Lattice parameters (Å, degrees): 4.7937 4.7937 4.7937 60.00 60.00 60.00
Closest atoms and distances in Å follow each position.
Sites, in units of the cell vectors:
Fe (0.5000, 0.5000, 0.5000)  4 Ta 2.94, 4 La 2.94
La (0.7500, 0.7500, 0.7500)  4 Fe 2.94, 4 Ta 2.94
Ta (0.0000, 0.0000, 0.0000)  4 La 2.94, 4 Ta 2.94
Ta (0.2500, 0.2500, 0.2500)  4 Ta 2.94, 4 Fe 2.94

VASP calculation (GGA-PBE) on crystalline LaTaFe2 at its relaxed geometry.

Values from the calculation:
E (eV per atom): -8.1532

Lattice parameters (Å, degrees): 3.6880 3.6103 6.0802 72.71 90.00 90.00
Closest atoms and distances in Å follow each position.
Sites, in units of the cell vectors:
Fe (0.0000, 0.2036, 0.9673)  2 Fe 2.29
Fe (0.5000, 0.0878, 0.1998)  2 Fe 2.29, 2 Ta 2.55-2.56
La (0.0000, 0.4652, 0.4446)  5 Fe 2.95-3.03
Ta (0.5000, 0.7434, 0.8884)  6 Fe 2.55-2.62

VASP calculation (GGA-PBE) on crystalline LaTaFe2 at its relaxed geometry.

Values from the calculation:
E (eV per atom): -8.0413

Lattice parameters (Å, degrees): 4.7340 4.7340 3.1272 89.88 89.88 90.00
Closest atoms and distances in Å follow each position.
Sites, in units of the cell vectors:
Fe (0.0000, 0.0000, 0.0000)  4 Ta 2.83-2.84, 4 La 2.83-2.84, 2 Fe 3.13
Fe (0.5000, 0.5000, 0.0000)  4 La 2.83-2.84, 4 Ta 2.83-2.84, 2 Fe 3.13
La (0.5000, 0.0000, 0.5000)  8 Fe 2.83-2.84, 2 La 3.13
Ta (0.0000, 0.5000, 0.5000)  8 Fe 2.83-2.84, 2 Ta 3.13

VASP calculation (GGA-PBE) on crystalline LaTa2Fe at its relaxed geometry.

Values from the calculation:
Distance to the lowest polymorph of the same formula (meV/atom): 170.1
E (eV per atom): -8.8899

Lattice parameters (Å, degrees): 6.0978 6.0978 4.9763 65.17 65.17 28.47
Closest atoms and distances in Å follow each position.
Sites, in units of the cell vectors:
Fe (0.7500, 0.7500, 0.7500)  4 Ta 2.59
La (0.2500, 0.2500, 0.2500)  4 Fe 2.91, 2 La 3.00, 2 Ta 3.25
Ta (0.0520, 0.0520, 0.9500)  2 Fe 2.59
Ta (0.4480, 0.4480, 0.5500)  2 Fe 2.59

VASP calculation (GGA-PBE) on crystalline LaTa2Fe at its relaxed geometry.

Values from the calculation:
Distance to the lowest polymorph of the same formula (meV/atom): 427.7
E (eV per atom): -8.6323

Lattice parameters (Å, degrees): 5.7584 5.7584 5.7584 139.79 139.79 58.17
Closest atoms and distances in Å follow each position.
Sites, in units of the cell vectors:
Fe (0.2500, 0.7500, 0.5000)  4 La 2.80
La (0.7500, 0.2500, 0.5000)  4 Fe 2.80
Ta (0.0000, 0.0000, 0.0000)  4 Ta 2.80
Ta (0.5000, 0.5000, 0.0000)  4 Ta 2.80

VASP calculation (GGA-PBE) on crystalline LaTa2Fe at its relaxed geometry.

Values from the calculation:
Distance to the lowest polymorph of the same formula (meV/atom): 463.6
E (eV per atom): -8.5964

Lattice parameters (Å, degrees): 5.1177 3.9386 3.9386 90.00 90.00 90.00
Closest atoms and distances in Å follow each position.
Sites, in units of the cell vectors:
Fe (0.5000, 0.5000, 0.0000)  4 La 2.79
La (0.5000, 0.0000, 0.5000)  4 Fe 2.79
Ta (0.0000, 0.0000, 0.0000)  4 Ta 2.79
Ta (0.0000, 0.5000, 0.5000)  4 Ta 2.79

VASP calculation (GGA-PBE) on crystalline LaTaFe3 at its relaxed geometry.

Values from the calculation:
Distance to the lowest polymorph of the same formula (meV/atom): 995.0
E (eV per atom): -6.6548

Lattice parameters (Å, degrees): 4.4490 4.4490 4.4490 90.00 90.00 90.00
Closest atoms and distances in Å follow each position.
Sites, in units of the cell vectors:
La (0.0000, 0.0000, 0.0000)  6 Fe 2.22
Fe (0.0000, 0.5000, 0.0000)  2 La 2.22
Fe (0.0000, 0.0000, 0.5000)  2 La 2.22
Fe (0.5000, 0.0000, 0.0000)  2 La 2.22
Ta (0.5000, 0.5000, 0.5000)  12 Fe 3.15

VASP calculation (GGA-PBE) on crystalline LaTa4Fe at its relaxed geometry.

Values from the calculation:
E (eV per atom): -9.5319

Lattice parameters (Å, degrees): 5.6201 5.6201 5.6201 60.00 60.00 60.00
Closest atoms and distances in Å follow each position.
Sites, in units of the cell vectors:
La (0.0000, 0.0000, 0.0000)  12 Ta 3.29, 4 Fe 3.44
Ta (0.8768, 0.3744, 0.3744)  6 Ta 2.80-2.82
Ta (0.3744, 0.3744, 0.8768)  6 Ta 2.80-2.82
Ta (0.3744, 0.8768, 0.3744)  6 Ta 2.80-2.82
Ta (0.3744, 0.3744, 0.3744)  6 Ta 2.80-2.82
Fe (0.7500, 0.7500, 0.7500)  12 Ta 3.30, 4 La 3.44

VASP calculation (GGA-PBE) on crystalline LaTa2Fe at its relaxed geometry.

Values from the calculation:
Distance to the lowest polymorph of the same formula (meV/atom): 312.1
E (eV per atom): -8.7479

Lattice parameters (Å, degrees): 5.5948 5.5948 5.5948 146.86 125.77 65.05
Closest atoms and distances in Å follow each position.
Sites, in units of the cell vectors:
Fe (0.5183, 0.5183, 0.0000)  2 Ta 2.41
La (0.2747, 0.7747, 0.5000)  2 Fe 2.80, 6 Ta 3.07
Ta (0.9966, 0.9966, 0.0000)  4 Fe 3.01, 4 La 3.07-3.30, 6 Ta 3.14-3.25
Ta (0.7104, 0.2104, 0.5000)  2 Fe 2.41

VASP calculation (GGA-PBE) on crystalline La3TaFe at its relaxed geometry.

Values from the calculation:
E (eV per atom): -6.3810

Lattice parameters (Å, degrees): 5.2422 5.2422 5.2422 90.00 90.00 90.00
Closest atoms and distances in Å follow each position.
Sites, in units of the cell vectors:
La (0.0000, 0.5000, 0.0000)  2 Fe 2.62
La (0.0000, 0.0000, 0.5000)  2 Fe 2.62
La (0.5000, 0.0000, 0.0000)  2 Fe 2.62
Fe (0.0000, 0.0000, 0.0000)  6 La 2.62
Ta (0.5000, 0.5000, 0.5000)  12 La 3.71